# NaTlGa2 PBE optimized geometry
data_NaTlGa2
_chemical_formula_sum 'Na1 Tl1 Ga2'
_cell_length_a 3.749
_cell_length_b 3.749
_cell_length_c 6.980
_cell_angle_alpha 90.00
_cell_angle_beta 90.00
_cell_angle_gamma 90.00
_symmetry_space_group_name_H-M 'P 4/m m m'
_symmetry_Int_Tables_number 123
_symmetry_space_group_name_Hall '-P 4 2'
loop_
_atom_site_label
_atom_site_fract_x
_atom_site_fract_y
_atom_site_fract_z
_atom_site_occupancy
Na1 0.000 0.000 0.000 1
Tl1 0.000 0.000 0.500 1
Ga1 0.500 0.500 0.268 1
# DFT formation energy = 0.055 eV/atom



# Pm2NiAs3Ir4 PBE optimized geometry
data_Pm2NiAs3Ir4
_chemical_formula_sum 'Pm2 Ni1 As3 Ir4'
_cell_length_a 4.206
_cell_length_b 4.206
_cell_length_c 10.185
_cell_angle_alpha 90.00
_cell_angle_beta 90.00
_cell_angle_gamma 90.00
_symmetry_space_group_name_H-M 'P -4 m 2'
_symmetry_Int_Tables_number 115
loop_
_symmetry_equiv_pos_as_xyz
'x,y,z'
'y,-x,-z'
'-x,-y,z'
'-y,x,-z'
'-x,y,z'
'-y,-x,-z'
'x,-y,z'
'y,x,-z'
loop_
_atom_site_label
_atom_site_fract_x
_atom_site_fract_y
_atom_site_fract_z
_atom_site_occupancy
Pm1 0.000 0.500 0.241 1
Ni1 0.500 0.500 0.000 1
As1 0.000 0.000 0.000 1
As2 0.000 0.500 0.640 1
Ir1 0.000 0.000 0.500 1
Ir2 0.000 0.500 0.874 1
Ir3 0.500 0.500 0.500 1
# DFT formation energy = -0.690 eV/atom



# LiZn2F2 PBE optimized geometry
data_LiZn2F2
_chemical_formula_sum 'Li2 Zn4 F4'
_cell_length_a 7.513
_cell_length_b 7.513
_cell_length_c 3.185
_cell_angle_alpha 90.00
_cell_angle_beta 90.00
_cell_angle_gamma 90.00
_symmetry_space_group_name_H-M 'P 4/m b m'
_symmetry_Int_Tables_number 127
_symmetry_space_group_name_Hall '-P 4 2ab'
loop_
_atom_site_label
_atom_site_fract_x
_atom_site_fract_y
_atom_site_fract_z
_atom_site_occupancy
Li1 0.000 0.000 0.000 1
Zn1 0.111 0.389 0.000 1
F1 0.237 0.263 0.500 1
# E_form (uncorrected) = -1.099 eV/atom



# Ac3PmNd2 PBE optimized geometry
data_Ac3PmNd2
_chemical_formula_sum 'Ac12 Pm4 Nd8'
_cell_length_a 9.620
_cell_length_b 10.747
_cell_length_c 9.464
_cell_angle_alpha 90.00
_cell_angle_beta 101.52
_cell_angle_gamma 90.00
_symmetry_space_group_name_H-M 'C 1 2/c 1'
_symmetry_Int_Tables_number 15
loop_
_symmetry_equiv_pos_as_xyz
'x,y,z'
'-x,-y,-z'
'-x,y,-z+1/2'
'x,-y,z+1/2'
'x+1/2,y+1/2,z'
'-x+1/2,-y+1/2,-z'
'-x+1/2,y+1/2,-z+1/2'
'x+1/2,-y+1/2,z+1/2'
loop_
_atom_site_label
_atom_site_fract_x
_atom_site_fract_y
_atom_site_fract_z
_atom_site_occupancy
Ac1 0.000 0.057 0.250 1
Ac2 0.214 0.418 0.978 1
Pm1 0.000 0.379 0.250 1
Nd1 0.133 0.249 0.619 1
# DFT formation energy = 0.100 eV/atom



# Cu2PtRh2 PBE optimized geometry
data_Cu2PtRh2
_chemical_formula_sum 'Cu4 Pt2 Rh4'
_cell_length_a 7.113
_cell_length_b 7.113
_cell_length_c 2.762
_cell_angle_alpha 90.00
_cell_angle_beta 90.00
_cell_angle_gamma 90.00
_symmetry_space_group_name_H-M 'P 4/m b m'
_symmetry_Int_Tables_number 127
_symmetry_space_group_name_Hall '-P 4 2ab'
loop_
_atom_site_label
_atom_site_fract_x
_atom_site_fract_y
_atom_site_fract_z
_atom_site_occupancy
Cu1 0.121 0.379 0.000 1
Pt1 0.000 0.000 0.000 1
Rh1 0.177 0.677 0.500 1
# DFT formation energy = 0.213 eV/atom



# Li4Nd PBE optimized geometry
data_Li4Nd
_chemical_formula_sum 'Li4 Nd1'
_cell_length_a 5.808
_cell_length_b 5.808
_cell_length_c 5.808
_cell_angle_alpha 90.00
_cell_angle_beta 90.00
_cell_angle_gamma 90.00
_symmetry_space_group_name_H-M 'P m -3 m'
_symmetry_Int_Tables_number 221
_symmetry_space_group_name_Hall '-P 4 2 3'
loop_
_atom_site_label
_atom_site_fract_x
_atom_site_fract_y
_atom_site_fract_z
_atom_site_occupancy
Li1 0.000 0.000 0.000 1
Li2 0.000 0.500 0.500 1
Nd1 0.500 0.500 0.500 1
# DFT formation energy = 0.941 eV/atom



# RbAg3Os PBE optimized geometry
data_RbAg3Os
_chemical_formula_sum 'Rb1 Ag3 Os1'
_cell_length_a 5.444
_cell_length_b 5.444
_cell_length_c 5.444
_cell_angle_alpha 90.00
_cell_angle_beta 90.00
_cell_angle_gamma 90.00
_symmetry_space_group_name_H-M 'P m -3 m'
_symmetry_Int_Tables_number 221
_symmetry_space_group_name_Hall '-P 4 2 3'
loop_
_atom_site_label
_atom_site_fract_x
_atom_site_fract_y
_atom_site_fract_z
_atom_site_occupancy
Rb1 0.000 0.000 0.000 1
Ag1 0.000 0.000 0.500 1
Os1 0.500 0.500 0.500 1
# DFT formation energy = 2.431 eV/atom



# Li2RuS2 PBE optimized geometry
data_Li2RuS2
_chemical_formula_sum 'Li4 Ru2 S4'
_cell_length_a 6.444
_cell_length_b 6.444
_cell_length_c 3.388
_cell_angle_alpha 90.00
_cell_angle_beta 90.00
_cell_angle_gamma 90.00
_symmetry_space_group_name_H-M 'P 4/m b m'
_symmetry_Int_Tables_number 127
_symmetry_space_group_name_Hall '-P 4 2ab'
loop_
_atom_site_label
_atom_site_fract_x
_atom_site_fract_y
_atom_site_fract_z
_atom_site_occupancy
Li1 0.138 0.362 0.000 1
Ru1 0.000 0.000 0.500 1
S1 0.173 0.673 0.500 1
# E_form (uncorrected) = -0.616 eV/atom



# Y2HoEr8 PBE optimized geometry
data_Y2HoEr8
_chemical_formula_sum 'Y4 Ho2 Er16'
_cell_length_a 16.956
_cell_length_b 6.654
_cell_length_c 6.499
_cell_angle_alpha 90.00
_cell_angle_beta 109.39
_cell_angle_gamma 90.00
_symmetry_space_group_name_H-M 'C 1 2/m 1'
_symmetry_Int_Tables_number 12
loop_
_symmetry_equiv_pos_as_xyz
'x,y,z'
'-x,-y,-z'
'-x,y,-z'
'x,-y,z'
'x+1/2,y+1/2,z'
'-x+1/2,-y+1/2,-z'
'-x+1/2,y+1/2,-z'
'x+1/2,-y+1/2,z'
loop_
_atom_site_label
_atom_site_fract_x
_atom_site_fract_y
_atom_site_fract_z
_atom_site_occupancy
Y1 0.216 0.000 0.102 1
Ho1 0.000 0.500 0.000 1
Er1 0.056 0.000 0.246 1
Er2 0.102 0.263 0.684 1
Er3 0.210 0.500 0.333 1
# DFT formation energy = 0.200 eV/atom



# BaSbNO2 PBE optimized geometry
data_BaSbNO2
_chemical_formula_sum 'Ba1 Sb1 N1 O2'
_cell_length_a 4.230
_cell_length_b 4.230
_cell_length_c 4.083
_cell_angle_alpha 90.00
_cell_angle_beta 90.00
_cell_angle_gamma 90.00
_symmetry_space_group_name_H-M 'P 4/m m m'
_symmetry_Int_Tables_number 123
_symmetry_space_group_name_Hall '-P 4 2'
loop_
_atom_site_label
_atom_site_fract_x
_atom_site_fract_y
_atom_site_fract_z
_atom_site_occupancy
Ba1 0.000 0.000 0.000 1
Sb1 0.500 0.500 0.500 1
N1 0.500 0.500 0.000 1
O1 0.000 0.500 0.500 1
# E_form (uncorrected) = -1.242 eV/atom



# CaLaInPt PBE optimized geometry
data_CaLaInPt
_chemical_formula_sum 'Ca4 La4 In4 Pt4'
_cell_length_a 7.480
_cell_length_b 7.480
_cell_length_c 7.480
_cell_angle_alpha 90.00
_cell_angle_beta 90.00
_cell_angle_gamma 90.00
_symmetry_space_group_name_H-M 'F -4 3 m'
_symmetry_Int_Tables_number 216
_symmetry_space_group_name_Hall 'F -4 2 3'
loop_
_atom_site_label
_atom_site_fract_x
_atom_site_fract_y
_atom_site_fract_z
_atom_site_occupancy
Ca1 0.000 0.000 0.000 1
La1 0.000 0.000 0.500 1
In1 0.250 0.250 0.750 1
Pt1 0.250 0.250 0.250 1
# DFT formation energy = -0.665 eV/atom



# PmNp2CuS5 PBE optimized geometry
data_PmNp2CuS5
_chemical_formula_sum 'Pm4 Np8 Cu4 S20'
_cell_length_a 3.816
_cell_length_b 16.600
_cell_length_c 11.767
_cell_angle_alpha 90.00
_cell_angle_beta 90.00
_cell_angle_gamma 90.00
_symmetry_space_group_name_H-M 'C m c 21'
_symmetry_Int_Tables_number 36
loop_
_symmetry_equiv_pos_as_xyz
'x,y,z'
'-x,-y,z+1/2'
'-x,y,z'
'x,-y,z+1/2'
'x+1/2,y+1/2,z'
'-x+1/2,-y+1/2,z+1/2'
'-x+1/2,y+1/2,z'
'x+1/2,-y+1/2,z+1/2'
loop_
_atom_site_label
_atom_site_fract_x
_atom_site_fract_y
_atom_site_fract_z
_atom_site_occupancy
Pm1 0.000 0.180 0.000 1
Np1 0.000 0.109 0.320 1
Np2 0.000 0.115 0.662 1
Cu1 0.000 0.451 0.394 1
S1 0.000 0.010 0.987 1
S2 0.000 0.301 0.671 1
S3 0.000 0.320 0.324 1
S4 0.000 0.348 0.991 1
S5 0.000 0.493 0.719 1
# E_form (uncorrected) = -1.350 eV/atom



# LaYEr6 PBE optimized geometry
data_LaYEr6
_chemical_formula_sum 'La3 Y3 Er18'
_cell_length_a 8.6582
_cell_length_b 8.6582
_cell_length_c 12.9949
_cell_angle_alpha 90.00
_cell_angle_beta 90.00
_cell_angle_gamma 120.00
_symmetry_space_group_name_H-M 'R -3 m'
_symmetry_Int_Tables_number 166
_symmetry_space_group_name_Hall '-R 3 2"'
loop_
_atom_site_label
_atom_site_fract_x
_atom_site_fract_y
_atom_site_fract_z
_atom_site_occupancy
La1 0.0000 0.0000 0.0000 1
Y1 0.0000 0.0000 0.5000 1
Er1 0.0911 0.5455 0.3905 1
# DFT formation energy = 0.580 eV/atom



# CaP3F PBE optimized geometry
data_CaP3F
_chemical_formula_sum 'Ca1 P3 F1'
_cell_length_a 4.465
_cell_length_b 4.465
_cell_length_c 4.465
_cell_angle_alpha 90.00
_cell_angle_beta 90.00
_cell_angle_gamma 90.00
_symmetry_space_group_name_H-M 'P m -3 m'
_symmetry_Int_Tables_number 221
_symmetry_space_group_name_Hall '-P 4 2 3'
loop_
_atom_site_label
_atom_site_fract_x
_atom_site_fract_y
_atom_site_fract_z
_atom_site_occupancy
Ca1 0.000 0.000 0.000 1
P1 0.000 0.500 0.500 1
F1 0.500 0.500 0.500 1
# E_form (uncorrected) = -0.025 eV/atom



# Si2IrSe PBE optimized geometry
data_Si2IrSe
_chemical_formula_sum 'Si4 Ir2 Se2'
_cell_length_a 4.105
_cell_length_b 4.105
_cell_length_c 7.296
_cell_angle_alpha 90.00
_cell_angle_beta 90.00
_cell_angle_gamma 90.00
_symmetry_space_group_name_H-M 'I 4/m m m'
_symmetry_Int_Tables_number 139
_symmetry_space_group_name_Hall '-I 4 2'
loop_
_atom_site_label
_atom_site_fract_x
_atom_site_fract_y
_atom_site_fract_z
_atom_site_occupancy
Si1 0.000 0.500 0.250 1
Ir1 0.000 0.000 0.000 1
Se1 0.000 0.000 0.500 1
# E_form (uncorrected) = 0.382 eV/atom



# TlAg2TeCl2 PBE optimized geometry
data_TlAg2TeCl2
_chemical_formula_sum 'Tl2 Ag4 Te2 Cl4'
_cell_length_a 5.040
_cell_length_b 6.645
_cell_length_c 11.905
_cell_angle_alpha 90.00
_cell_angle_beta 90.29
_cell_angle_gamma 90.00
_symmetry_space_group_name_H-M 'P 1 21/m 1'
_symmetry_Int_Tables_number 11
loop_
_symmetry_equiv_pos_as_xyz
'x,y,z'
'-x,-y,-z'
'-x,y+1/2,-z'
'x,-y+1/2,z'
loop_
_atom_site_label
_atom_site_fract_x
_atom_site_fract_y
_atom_site_fract_z
_atom_site_occupancy
Tl1 0.243 0.250 0.062 1
Ag1 0.248 0.250 0.452 1
Ag2 0.256 0.750 0.684 1
Te1 0.250 0.750 0.461 1
Cl1 0.265 0.006 0.838 1
# E_form (uncorrected) = -0.343 eV/atom



# Al2InSbH PBE optimized geometry
data_Al2InSbH
_chemical_formula_sum 'Al2 In1 Sb1 H1'
_cell_length_a 4.370
_cell_length_b 4.370
_cell_length_c 4.973
_cell_angle_alpha 90.00
_cell_angle_beta 90.00
_cell_angle_gamma 90.00
_symmetry_space_group_name_H-M 'P 4/m m m'
_symmetry_Int_Tables_number 123
_symmetry_space_group_name_Hall '-P 4 2'
loop_
_atom_site_label
_atom_site_fract_x
_atom_site_fract_y
_atom_site_fract_z
_atom_site_occupancy
Al1 0.000 0.500 0.000 1
In1 0.000 0.000 0.500 1
Sb1 0.500 0.500 0.500 1
H1 0.000 0.000 0.000 1
# uncorrected energy = -3.225 eV per atom



# NdTlNi PBE optimized geometry
data_NdTlNi
_chemical_formula_sum 'Nd4 Tl4 Ni4'
_cell_length_a 6.650
_cell_length_b 6.650
_cell_length_c 6.650
_cell_angle_alpha 90.00
_cell_angle_beta 90.00
_cell_angle_gamma 90.00
_symmetry_space_group_name_H-M 'F -4 3 m'
_symmetry_Int_Tables_number 216
_symmetry_space_group_name_Hall 'F -4 2 3'
loop_
_atom_site_label
_atom_site_fract_x
_atom_site_fract_y
_atom_site_fract_z
_atom_site_occupancy
Nd1 0.000 0.000 0.000 1
Tl1 0.000 0.000 0.500 1
Ni1 0.250 0.250 0.750 1
# DFT formation energy = -0.199 eV/atom



# CeGaCoTc PBE optimized geometry
data_CeGaCoTc
_chemical_formula_sum 'Ce4 Ga4 Co4 Tc4'
_cell_length_a 6.380
_cell_length_b 6.380
_cell_length_c 6.380
_cell_angle_alpha 90.00
_cell_angle_beta 90.00
_cell_angle_gamma 90.00
_symmetry_space_group_name_H-M 'F -4 3 m'
_symmetry_Int_Tables_number 216
_symmetry_space_group_name_Hall 'F -4 2 3'
loop_
_atom_site_label
_atom_site_fract_x
_atom_site_fract_y
_atom_site_fract_z
_atom_site_occupancy
Ce1 0.000 0.000 0.000 1
Ga1 0.000 0.000 0.500 1
Co1 0.250 0.250 0.750 1
Tc1 0.250 0.250 0.250 1
# DFT formation energy = -0.159 eV/atom



# BaPd2Pb5 PBE optimized geometry
data_BaPd2Pb5
_chemical_formula_sum 'Ba2 Pd4 Pb10'
_cell_length_a 4.704
_cell_length_b 8.498
_cell_length_c 11.652
_cell_angle_alpha 90.00
_cell_angle_beta 90.00
_cell_angle_gamma 90.00
_symmetry_space_group_name_H-M 'I m m m'
_symmetry_Int_Tables_number 71
_symmetry_space_group_name_Hall '-I 2 2'
loop_
_atom_site_label
_atom_site_fract_x
_atom_site_fract_y
_atom_site_fract_z
_atom_site_occupancy
Ba1 0.000 0.000 0.000 1
Pd1 0.000 0.500 0.246 1
Pb1 0.000 0.196 0.345 1
Pb2 0.000 0.500 0.000 1
# DFT formation energy = -0.295 eV/atom